1.
KCd2Se2O6 | PBE | relaxed Values from VASP.

Computed properties:
uncorrected formation energy = -0.936 eV/atom

Structure (Quantum ESPRESSO input):
```
&SYSTEM
  ibrav = 0, nat = 11, ntyp = 4
/
ATOMIC_SPECIES
Se 78.96 Se.upf
K 39.10 K.upf
O 16.00 O.upf
Cd 112.41 Cd.upf
CELL_PARAMETERS angstrom
-3.6854 4.3237 1.3751
-6.3402 -3.4809 1.1327
2.9970 1.7060 5.0274
ATOMIC_POSITIONS crystal
Se 0.8655 0.2554 0.1302
Se 0.1345 0.7446 0.8698
K 0.5000 0.0000 0.5000
O 0.2860 0.7637 0.6278
O 0.1175 0.4864 0.7267
O 0.7140 0.2363 0.3722
O 0.8825 0.5136 0.2733
O 0.3634 0.7220 0.0376
O 0.6366 0.2780 0.9624
Cd 0.2778 0.5172 0.2395
Cd 0.7222 0.4828 0.7605
```



2.
KCdSe2O8 | PBE | relaxed Values from VASP.

Computed properties:
uncorrected formation energy = -0.826 eV/atom

Structure (Quantum ESPRESSO input):
```
&SYSTEM
  ibrav = 0, nat = 12, ntyp = 4
/
ATOMIC_SPECIES
O 16.00 O.upf
K 39.10 K.upf
Cd 112.41 Cd.upf
Se 78.96 Se.upf
CELL_PARAMETERS angstrom
5.2526 0.0000 0.0000
2.6263 4.5489 0.0000
2.6263 1.5163 8.4573
ATOMIC_POSITIONS crystal
O 0.0830 0.7706 0.6721
O 0.7706 0.4743 0.6721
O 0.9170 0.5257 0.3279
O 0.3102 0.3102 0.0695
O 0.2294 0.9170 0.3279
O 0.4743 0.0830 0.6721
O 0.5257 0.2294 0.3279
O 0.6898 0.6898 0.9305
K 0.0000 0.0000 0.0000
Cd 0.5000 0.5000 0.5000
Se 0.2443 0.2443 0.2670
Se 0.7557 0.7557 0.7330
```



3.
K2CdSe2O10 | PBE | relaxed Values from VASP.

Computed properties:
uncorrected formation energy = -0.989 eV/atom

Structure (Quantum ESPRESSO input):
```
&SYSTEM
  ibrav = 0, nat = 30, ntyp = 4
/
ATOMIC_SPECIES
O 16.00 O.upf
Cd 112.41 Cd.upf
K 39.10 K.upf
Se 78.96 Se.upf
CELL_PARAMETERS angstrom
7.0238 -0.3218 0.2777
2.1239 7.2867 -0.6687
3.1593 0.2918 10.2060
ATOMIC_POSITIONS crystal
O 0.2931 0.4422 0.7038
O 0.0921 0.0114 0.1715
O 0.9079 0.9886 0.8285
O 0.1518 0.3364 0.3661
O 0.2069 0.5578 0.7962
O 0.4798 0.7441 0.5815
O 0.7931 0.4422 0.2038
O 0.8482 0.6636 0.6339
O 0.5202 0.2559 0.4185
O 0.6634 0.1441 0.0778
O 0.6518 0.3364 0.8661
O 0.4079 0.9886 0.3285
O 0.9798 0.7442 0.0815
O 0.3482 0.6636 0.1339
O 0.8366 0.8559 0.4222
O 0.3366 0.8559 0.9222
O 0.0202 0.2558 0.9185
O 0.1634 0.1441 0.5778
O 0.5921 0.0114 0.6715
O 0.7069 0.5578 0.2962
Cd 0.7500 0.0000 0.2500
Cd 0.2500 0.0000 0.7500
K 0.7562 0.3163 0.5869
K 0.7438 0.6837 0.9130
K 0.2562 0.3163 0.0870
K 0.2438 0.6837 0.4131
Se 0.1919 0.8152 0.0759
Se 0.8081 0.1848 0.9241
Se 0.6919 0.8152 0.5759
Se 0.3081 0.1848 0.4241
```



4.
KCd2SiO4 | PBE | relaxed Values from VASP.

Computed properties:
uncorrected formation energy = -1.701 eV/atom

Structure (Quantum ESPRESSO input):
```
&SYSTEM
  ibrav = 0, nat = 8, ntyp = 4
/
ATOMIC_SPECIES
Cd 112.41 Cd.upf
O 16.00 O.upf
K 39.10 K.upf
Si 28.09 Si.upf
CELL_PARAMETERS angstrom
-2.8644 -1.7130 4.6797
4.1360 -3.8264 1.1360
1.1883 5.3544 -0.8458
ATOMIC_POSITIONS crystal
Cd 0.7501 0.2499 0.4999
Cd 0.2499 0.7501 0.4999
O 0.4547 0.7950 0.2497
O 0.7950 0.4547 0.2497
O 0.2052 0.2052 0.7507
O 0.5452 0.5452 0.7504
K 0.0002 0.0002 0.0002
Si 0.5000 0.5000 0.0001
```